KTe2Mo | PBE | optimized geometry

a = 7.638 Å, b = 7.638 Å, c = 7.638 Å
α = 119.63°, β = 119.63°, γ = 90.64°
Element x y z (fractional)
K1 0.000 0.000 0.000
K2 0.750 0.250 0.500
Te1 0.224 0.625 0.099
Te2 0.375 0.474 0.599
Te3 0.526 0.125 0.901
Te4 0.875 0.776 0.401
Mo1 0.250 0.750 0.500
Mo2 0.500 0.500 0.000

Values from the calculation:
The total energy comes out at -4.64 eV/atom. The calculation puts the density of states at the Fermi level at 6.29 states/eV/cell.

---

KTeMo2 | PBE | optimized geometry

a = 3.321 Å, b = 4.280 Å, c = 7.393 Å
α = 90.00°, β = 90.00°, γ = 90.00°
Element x y z (fractional)
K1 0.000 0.000 0.000
Te1 0.000 0.000 0.500
Mo1 0.500 0.500 0.351
Mo2 0.500 0.500 0.649

Values from the calculation:
The total energy comes out at -5.56 eV/atom. The calculation puts the density of states at the Fermi level at 3.80 states/eV/cell.

---

KTeMo2 | PBE | optimized geometry

a = 5.820 Å, b = 5.820 Å, c = 5.820 Å
α = 138.74°, β = 138.74°, γ = 59.78°
Element x y z (fractional)
K1 0.000 0.000 0.000
Te1 0.500 0.500 0.000
Mo1 0.250 0.750 0.500
Mo2 0.750 0.250 0.500

Values from the calculation:
The total energy comes out at -5.20 eV/atom. The calculation puts the density of states at the Fermi level at 5.67 states/eV/cell.

---

KTeMo2 | PBE | optimized geometry

a = 10.626 Å, b = 10.626 Å, c = 10.626 Å
α = 153.98°, β = 153.98°, γ = 37.13°
Element x y z (fractional)
K1 0.000 0.000 0.000
K2 0.750 0.250 0.500
Te1 0.250 0.750 0.500
Te2 0.500 0.500 0.000
Mo1 0.348 0.625 0.223
Mo2 0.375 0.598 0.723
Mo3 0.402 0.125 0.777
Mo4 0.875 0.652 0.277

Values from the calculation:
The total energy comes out at -5.51 eV/atom. The calculation puts the density of states at the Fermi level at 11.01 states/eV/cell.

---

Going through the records in order, we get magnetization values of 0.0; 0.0; 0.0; 0.0 Bohr magnetons per cell.
Going through the records in order, we get formation energy (no corrections) values of -87; 915; 1276; 970 meV per atom.